## SrAlRu2 (GGA-PBEsol)

Data for a relaxed SrAlRu2 crystal.

Lattice parameters (Å, degrees): 2.8216 5.3291 5.3291 111.94 103.47 103.47
Atoms (fractional coordinates):
Ru 0.0000 0.5000 0.0000
Ru 0.0000 0.0000 0.5000
Al 0.5000 0.5000 0.5000
Sr 0.5000 0.0000 0.0000

Output
Its formation energy is 0.573 eV/atom. Its total energy is -23.985 eV/cell.